! RhAuCl, optimized geometry, DFT PBE-GGA; values from VASP
! Electronic total energy (eV/atom): -4.1078
! Raw formation energy (eV per formula unit): 0.2
&SYSTEM
  ibrav = 0, nat = 6, ntyp = 3
/
ATOMIC_SPECIES
Au 196.97 Au.upf
Cl 35.45 Cl.upf
Rh 102.91 Rh.upf
CELL_PARAMETERS angstrom
4.758 0.000 -0.004
0.000 5.304 0.000
-2.326 0.000 5.623
ATOMIC_POSITIONS crystal
Au 0.973 0.750 0.445
Cl 0.332 0.250 0.156
Cl 0.668 0.750 0.844
Au 0.027 0.250 0.555
Rh 0.500 0.000 0.500
Rh 0.500 0.500 0.500

***

! RhAuCl2, optimized geometry, DFT PBE-GGA; values from VASP
! Electronic total energy (eV/atom): -3.6378
! Raw formation energy (eV per formula unit): -0.2
&SYSTEM
  ibrav = 0, nat = 4, ntyp = 3
/
ATOMIC_SPECIES
Cl 35.45 Cl.upf
Au 196.97 Au.upf
Rh 102.91 Rh.upf
CELL_PARAMETERS angstrom
3.337 0.000 0.000
0.000 6.446 0.230
0.000 4.040 5.023
ATOMIC_POSITIONS crystal
Cl 0.000 0.113 0.112
Au 0.500 0.750 0.750
Cl 0.000 0.387 0.388
Rh 0.500 0.250 0.250

***

! RhAuCl2, optimized geometry, DFT PBE-GGA; values from VASP
! Electronic total energy (eV/atom): -3.0636
! Raw formation energy (eV per formula unit): 2.1
&SYSTEM
  ibrav = 0, nat = 4, ntyp = 3
/
ATOMIC_SPECIES
Rh 102.91 Rh.upf
Au 196.97 Au.upf
Cl 35.45 Cl.upf
CELL_PARAMETERS angstrom
0.000 3.328 3.328
3.328 0.000 3.328
3.328 3.328 0.000
ATOMIC_POSITIONS crystal
Rh 0.000 0.000 0.000
Au 0.500 0.500 0.500
Cl 0.250 0.250 0.250
Cl 0.750 0.750 0.750

***

! RhAuS2Cl, optimized geometry, DFT PBE-GGA; values from VASP
! Electronic total energy (eV/atom): -3.1219
! Raw formation energy (eV per formula unit): 5.1
&SYSTEM
  ibrav = 0, nat = 5, ntyp = 4
/
ATOMIC_SPECIES
S 32.06 S.upf
Cl 35.45 Cl.upf
Au 196.97 Au.upf
Rh 102.91 Rh.upf
CELL_PARAMETERS angstrom
-1.087 -3.287 -3.447
2.578 -3.313 2.347
-3.979 -1.317 2.510
ATOMIC_POSITIONS crystal
S 0.000 0.000 0.500
Cl 0.000 0.500 0.000
Au 0.000 0.000 0.000
Rh 0.500 0.500 0.500
S 0.500 0.000 0.000

***

! RhAuS2Cl, optimized geometry, DFT PBE-GGA; values from VASP
! Electronic total energy (eV/atom): -3.6711
! Raw formation energy (eV per formula unit): 2.4
&SYSTEM
  ibrav = 0, nat = 5, ntyp = 4
/
ATOMIC_SPECIES
Rh 102.91 Rh.upf
Au 196.97 Au.upf
Cl 35.45 Cl.upf
S 32.06 S.upf
CELL_PARAMETERS angstrom
-3.304 2.263 -2.312
-2.842 -3.610 0.528
-1.615 1.878 4.145
ATOMIC_POSITIONS crystal
Rh 0.000 0.000 0.000
Au 0.500 0.500 0.500
Cl 0.000 0.000 0.500
S 0.500 0.000 0.000
S 0.000 0.500 0.000

***

! Sm3RhAuCl, optimized geometry, DFT PBE-GGA; values from VASP
! Electronic total energy (eV/atom): -5.3076
! Raw formation energy (eV per formula unit): -5.2
&SYSTEM
  ibrav = 0, nat = 12, ntyp = 4
/
ATOMIC_SPECIES
Au 196.97 Au.upf
Sm 150.36 Sm.upf
Rh 102.91 Rh.upf
Cl 35.45 Cl.upf
CELL_PARAMETERS angstrom
4.218 0.000 0.000
0.000 8.079 0.105
0.000 -2.033 9.188
ATOMIC_POSITIONS crystal
Au 0.250 0.209 0.248
Sm 0.250 0.568 0.844
Sm 0.750 0.297 0.532
Rh 0.750 0.333 0.854
Sm 0.750 0.892 0.116
Sm 0.750 0.432 0.156
Sm 0.250 0.108 0.884
Cl 0.250 0.096 0.594
Cl 0.750 0.904 0.406
Sm 0.250 0.703 0.468
Rh 0.250 0.667 0.146
Au 0.750 0.791 0.752

***

! TlRhAuCl2, optimized geometry, DFT PBE-GGA; values from VASP
! Electronic total energy (eV/atom): -2.6195
! Raw formation energy (eV per formula unit): 3.6
&SYSTEM
  ibrav = 0, nat = 5, ntyp = 4
/
ATOMIC_SPECIES
Tl 204.38 Tl.upf
Cl 35.45 Cl.upf
Rh 102.91 Rh.upf
Au 196.97 Au.upf
CELL_PARAMETERS angstrom
5.490 0.000 0.000
0.000 5.318 0.000
0.000 0.000 5.490
ATOMIC_POSITIONS crystal
Tl 0.000 0.000 0.000
Cl 0.500 0.000 0.000
Rh 0.500 0.500 0.500
Au 0.000 0.500 0.000
Cl 0.000 0.000 0.500

***

! TlRhAuCl6, optimized geometry, DFT PBE-GGA; values from VASP
! Electronic total energy (eV/atom): -3.2095
! Raw formation energy (eV per formula unit): -4.8
&SYSTEM
  ibrav = 0, nat = 9, ntyp = 4
/
ATOMIC_SPECIES
Cl 35.45 Cl.upf
Rh 102.91 Rh.upf
Au 196.97 Au.upf
Tl 204.38 Tl.upf
CELL_PARAMETERS angstrom
6.461 0.324 -0.137
3.501 6.091 -0.253
-0.136 -0.209 6.909
ATOMIC_POSITIONS crystal
Cl 0.012 0.372 0.293
Cl 0.017 0.613 0.708
Cl 0.346 0.040 0.660
Rh 0.340 0.330 0.500
Cl 0.634 0.315 0.718
Au 0.663 0.670 0.500
Tl 0.015 0.992 0.002
Cl 0.628 0.053 0.279
Cl 0.345 0.614 0.340

***

What are the D(E_F) values for these records? In order: 7.9 3.3 1.6 4.7 5.5 7.3 8.1 1.2 states/eV/cell.
What are the spin magnetization values for these records? In order: 0.0486 0.0000 0.5091 0.5473 0.0000 0.0000 0.3643 0.1150 μB per atom.